# 1
# MnAs2RhN (GGA-PBEsol, optimized geometry)
data_MnAs2RhN
_chemical_formula_sum 'Mn1 As2 Rh1 N1'
_cell_length_a 4.321
_cell_length_b 4.321
_cell_length_c 3.662
_cell_angle_alpha 90.00
_cell_angle_beta 90.00
_cell_angle_gamma 90.00
_space_group_name_H-M_alt 'P 4/m m m'
_space_group_IT_number 123
_space_group_name_Hall '-P 4 2'
loop_
_atom_site_label
_atom_site_fract_x
_atom_site_fract_y
_atom_site_fract_z
Mn1 0.000 0.000 0.000
As1 0.000 0.500 0.500
Rh1 0.500 0.500 0.000
N1 0.000 0.000 0.500
# DOS(E_F) = 2.8 states/eV/cell
# E_form (uncorrected) = 0.3054 eV per atom

# 2
# Sc2AsPb (GGA-PBEsol, optimized geometry)
data_Sc2AsPb
_chemical_formula_sum 'Sc2 As1 Pb1'
_cell_length_a 3.346
_cell_length_b 3.346
_cell_length_c 7.587
_cell_angle_alpha 90.00
_cell_angle_beta 90.00
_cell_angle_gamma 90.00
_space_group_name_H-M_alt 'P 4/m m m'
_space_group_IT_number 123
_space_group_name_Hall '-P 4 2'
loop_
_atom_site_label
_atom_site_fract_x
_atom_site_fract_y
_atom_site_fract_z
Sc1 0.000 0.000 0.206
As1 0.500 0.500 0.000
Pb1 0.500 0.500 0.500
# DOS(E_F) = 3.8 states/eV/cell
# energy relative to the lowest polymorph listed for this composition = 0.223 eV per atom
# DFT formation energy = -0.700 eV per atom

# 3
# SiAu4 (GGA-PBEsol, optimized geometry)
data_SiAu4
_chemical_formula_sum 'Si2 Au8'
_cell_length_a 5.729
_cell_length_b 5.729
_cell_length_c 5.729
_cell_angle_alpha 90.00
_cell_angle_beta 90.00
_cell_angle_gamma 90.00
_space_group_name_H-M_alt 'I m -3 m'
_space_group_IT_number 229
_space_group_name_Hall '-I 4 2 3'
loop_
_atom_site_label
_atom_site_fract_x
_atom_site_fract_y
_atom_site_fract_z
Si1 0.000 0.000 0.000
Au1 0.250 0.250 0.250
# DOS(E_F) = 4.3 states/eV/cell
# E_form (uncorrected) = 0.0187 eV per atom

# 4
# Li4PCl (GGA-PBEsol, optimized geometry)
data_Li4PCl
_chemical_formula_sum 'Li16 P4 Cl4'
_cell_length_a 13.614
_cell_length_b 4.181
_cell_length_c 7.425
_cell_angle_alpha 90.00
_cell_angle_beta 103.23
_cell_angle_gamma 90.00
_space_group_name_H-M_alt 'C 1 2/m 1'
_space_group_IT_number 12
_space_group_name_Hall '-C 2y'
loop_
_atom_site_label
_atom_site_fract_x
_atom_site_fract_y
_atom_site_fract_z
Li1 0.053 0.000 0.216
Li2 0.066 0.500 0.657
Li3 0.181 0.500 0.092
Li4 0.196 0.000 0.511
P1 0.117 0.500 0.363
Cl1 0.137 0.000 0.893
# E_form (uncorrected) = -0.9856 eV per atom

Size of the total moment readings, ordered: 3.150, 0.011, 0.000, 0.000 μB per cell
Total energy readings, ordered: -35.1, -25.1, -42.7, -86.3 eV per cell
Calculated volume readings, ordered: 13.7, 21.2, 18.8, 17.1 A^3/atom